1.
Density functional theory data (PBE) for NdPu2ScS4 after structural relaxation.

Output
- raw formation energy (kJ per mole of atoms) = -178
- density (g/cm³) = 7.82
- symmetry = P2/m

a b c (Å): 6.8029 3.9127 6.8105
angles (deg): 90.00 109.26 90.00
Fractional coordinates of all 8 atoms:
Nd 0.0000 0.0000 0.0000
Pu 0.0000 0.5000 0.5000
Pu 0.5000 0.0000 0.5000
Sc 0.5000 0.5000 0.0000
S 0.2637 0.5000 0.2510
S 0.2663 0.0000 0.7593
S 0.7337 0.0000 0.2407
S 0.7363 0.5000 0.7490

=====

2.
Density functional theory data (PBE) for LiTe after structural relaxation.

Output
- raw formation energy (kJ per mole of atoms) = -53
- offset from the most stable computed form (eV per atom) = 0.172
- density (g/cm³) = 4.34
- symmetry = P4/nmm

a b c (Å): 3.5369 3.5369 8.2217
angles (deg): 90.00 90.00 90.00
Fractional coordinates of all 4 atoms:
Li 0.2500 0.2500 0.0932
Li 0.7500 0.7500 0.9068
Te 0.2500 0.2500 0.7444
Te 0.7500 0.7500 0.2556

=====

3.
Density functional theory data (PBE) for Eu4PdO7 after structural relaxation.

Output
- raw formation energy (kJ per mole of atoms) = -224
- density (g/cm³) = 7.73
- symmetry = P-1

a b c (Å): 6.9065 7.2594 7.9299
angles (deg): 69.84 72.00 84.38
Fractional coordinates of all 24 atoms:
Eu 0.1346 0.3579 0.3580
Eu 0.1605 0.3234 0.8849
Eu 0.2923 0.8935 0.2270
Eu 0.2952 0.8710 0.7119
Eu 0.7048 0.1290 0.2881
Eu 0.7077 0.1065 0.7730
Eu 0.8395 0.6766 0.1151
Eu 0.8654 0.6421 0.6420
Pd 0.5000 0.5000 0.0000
Pd 0.5000 0.5000 0.5000
O 0.0021 0.2998 0.6726
O 0.0559 0.1517 0.2062
O 0.2073 0.5701 0.0061
O 0.2455 0.6440 0.5794
O 0.3432 0.0330 0.8994
O 0.3504 0.0894 0.4040
O 0.4499 0.5714 0.2406
O 0.5501 0.4286 0.7594
O 0.6496 0.9106 0.5960
O 0.6568 0.9670 0.1006
O 0.7545 0.3560 0.4206
O 0.7927 0.4299 0.9939
O 0.9441 0.8483 0.7938
O 0.9979 0.7002 0.3274

=====

4.
Density functional theory data (PBE) for Ac2La7Sm3 after structural relaxation.

Output
- energy of formation (meV/atom) = 71.9
- offset from the most stable computed form (eV per atom) = 0.000
- density (g/cm³) = 6.93
- symmetry = P2/m

a b c (Å): 6.6429 3.6976 18.4003
angles (deg): 90.00 95.23 90.00
Fractional coordinates of all 12 atoms:
Ac 0.0772 0.0000 0.1698
Ac 0.9228 0.0000 0.8302
La 0.0000 0.5000 0.5000
La 0.2195 0.0000 0.6662
La 0.2675 0.0000 0.9909
La 0.2868 0.5000 0.3380
La 0.7132 0.5000 0.6620
La 0.7325 0.0000 0.0091
La 0.7805 0.0000 0.3338
Sm 0.4368 0.5000 0.8340
Sm 0.5000 0.0000 0.5000
Sm 0.5632 0.5000 0.1660

=====

The highest density belongs to which entry? NdPu2ScS4

=====

density of number 1 (NdPu2ScS4)? 7.82 g/cm³

=====

Look up the density of the third one. 7.73 g/cm³

=====

Which of these has the highest density? NdPu2ScS4